(1)
BaIrBr | PBE | relaxed

Cell lengths 5.5128, 5.5128, 5.5128 Å; angles 60.00, 60.00, 60.00 degrees
Last column: nearest neighbours and their distance in Å.
Sites, in units of the cell vectors:
Ba (0.0000, 0.0000, 0.0000)  4 Br 3.38, 4 Ir 3.38
Ir (0.2500, 0.2500, 0.2500)  4 Ba 3.38
Br (0.7500, 0.7500, 0.7500)  4 Ba 3.38

Output
* E: -3.9100 eV per atom
* raw formation energy: 0.242 eV/atom
* size of the total moment: 2.00 μB/cell
* crystal system: cubic
* polymorph energy (0 for the lowest one): 1.255 eV/atom

=====

(2)
BaIrBr | PBE | relaxed

Cell lengths 4.4104, 5.7775, 8.2627 Å; angles 90.00, 90.06, 90.00 degrees
Last column: nearest neighbours and their distance in Å.
Sites, in units of the cell vectors:
Ba (0.0000, 0.0000, 0.0000)  6 Ir 3.34-3.72, 4 Br 3.35-3.44
Ba (0.4997, 0.5000, 0.4971)  4 Br 3.24-3.26, 3 Ir 3.31-3.37
Ir (0.0003, 0.5000, 0.7964)  2 Ir 2.38
Ir (0.5005, 0.5000, 0.9052)  2 Ir 2.38
Br (0.5000, 0.0000, 0.3196)  4 Ba 3.24-3.44
Br (0.9992, 0.5000, 0.2062)  4 Ba 3.26-3.35, 3 Ir 3.32-3.39

Output
* E: -4.9135 eV per atom
* raw formation energy: -0.761 eV/atom
* size of the total moment: 0.00 μB/cell
* crystal system: monoclinic
* polymorph energy (0 for the lowest one): 0.251 eV/atom

=====

(3)
Ba6IrBr2 | PBE | relaxed

Cell lengths 8.5945, 7.6201, 16.1572 Å; angles 90.00, 122.08, 90.00 degrees
Last column: nearest neighbours and their distance in Å.
Sites, in units of the cell vectors:
Ba (0.0058, 0.2228, 0.1623)  1 Ir 3.10, 1 Br 3.40
Ba (0.0058, 0.2772, 0.6623)  1 Ir 3.10, 1 Br 3.40
Ba (0.2769, 0.2443, 0.4997)  1 Ir 3.08, 2 Br 3.44
Ba (0.2769, 0.2557, 0.9997)  1 Ir 3.08, 2 Br 3.44
Ba (0.3196, 0.7215, 0.6627)  1 Ir 3.10, 1 Br 3.41
Ba (0.3196, 0.7785, 0.1627)  1 Ir 3.10, 1 Br 3.41
Ba (0.6804, 0.2215, 0.8373)  1 Ir 3.10, 1 Br 3.41
Ba (0.6804, 0.2785, 0.3373)  1 Ir 3.10, 1 Br 3.41
Ba (0.7231, 0.7443, 0.0003)  1 Ir 3.08, 2 Br 3.44
Ba (0.7231, 0.7557, 0.5003)  1 Ir 3.08, 2 Br 3.44
Ba (0.9942, 0.7228, 0.3377)  1 Ir 3.10, 1 Br 3.40
Ba (0.9942, 0.7772, 0.8377)  1 Ir 3.10, 1 Br 3.40
Ir (0.0000, 0.0000, 0.0000)  6 Ba 3.08-3.10
Ir (0.0000, 0.5000, 0.5000)  6 Ba 3.08-3.10
Br (0.3477, 0.5011, 0.3478)  6 Ba 3.40-3.57
Br (0.3477, 0.9989, 0.8478)  6 Ba 3.40-3.57
Br (0.6523, 0.0011, 0.1522)  6 Ba 3.40-3.57
Br (0.6523, 0.4989, 0.6522)  6 Ba 3.40-3.57

Output
* E: -3.3956 eV per atom
* raw formation energy: -0.757 eV/atom
* size of the total moment: 0.00 μB/cell
* crystal system: monoclinic